1.
Computed, not measured: crystalline NaCaAcCd at its relaxed geometry at the PBE-GGA level of DFT.

Cell lengths 5.761, 5.761, 5.761 Å; angles 60.00, 60.00, 60.00 degrees
Fractional coordinates of all 4 atoms:
Cd: 0.750 0.750 0.750
Na: 0.250 0.250 0.250
Ac: 0.500 0.500 0.500
Ca: 0.000 0.000 0.000

2.
Computed, not measured: crystalline CaNb3In at its relaxed geometry at the PBE-GGA level of DFT.

Cell lengths 5.161, 5.161, 5.161 Å; angles 90.00, 90.00, 90.00 degrees
Fractional coordinates of all 5 atoms:
Nb: 0.000 0.500 0.000
Nb: 0.500 0.000 0.000
Nb: 0.000 0.000 0.500
Ca: 0.500 0.500 0.500
In: 0.000 0.000 0.000

## Properties
Polymorph energy (0 for the lowest one) ... 0 meV per atom

What did we get for formation energy from the elements? Answer: -89, 1537 meV/atom, in the order shown.